The following is a PBE calculation of a relaxed TaCrRu crystal, from Alexandria via LeMat-Bulk.

Cell lengths 9.2459, 4.2943, 5.4713 Å; angles 90.00, 125.79, 90.00 degrees
Closest atoms and distances in Å follow each position.
Space group C2/m (No. 12)
One atom of each set of equivalent atoms:
Ta1 0.0063 0.0000 0.2539 x4  3 Cr 2.59-2.71, 3 Ru 2.63-2.70, 2 Ta 2.71-2.76
Cr1 0.1516 0.5000 0.5698 x4  1 Cr 2.44, 3 Ta 2.59-2.71, 3 Ru 2.68-2.71
Ru1 0.1763 0.5000 0.0877 x4  3 Ta 2.63-2.70, 4 Cr 2.68-2.78, 1 Ru 2.81

Crystal system ... monoclinic
Calculated density ... 12.591 g/cm³
N(E_F) ... 16.59 states/eV/cell
Formation energy from the elements ... 0.023 eV/atom
Electronic total energy ... -122.73 eV/cell